No. 1
First-principles (PBE-GGA) data for TmCuTe3Pb after structural relaxation, as listed in OQMD.

Results
energy relative to the lowest polymorph listed for this composition: 53 meV per atom
E_tot: -100.832 eV for the cell shown

Lattice parameters (Å, degrees): 12.338 4.409 12.408 90.00 90.00 90.00
Space group Pnma (No. 62)
Symmetry-distinct sites (fractional):
Tm: 0.030 0.250 0.188 x4
Cu: 0.234 0.750 0.298 x4
Te: 0.032 0.750 0.363 x4
Te: 0.098 0.250 0.937 x4
Te: 0.219 0.750 0.689 x4
Pb: 0.198 0.250 0.479 x4

=====

No. 2
First-principles (PBE-GGA) data for Cs3Rb2ReO6 after structural relaxation, as listed in OQMD.

Results
energy relative to the lowest polymorph listed for this composition: 6 meV per atom
E_tot: -130.509 eV for the cell shown

Lattice parameters (Å, degrees): 6.913 11.890 6.496 90.00 109.25 90.00
Space group C2/m (No. 12)
Symmetry-distinct sites (fractional):
Cs: 0.000 0.000 0.000 x2
Cs: 0.000 0.168 0.500 x4
Rb: 0.000 0.343 0.000 x4
Re: 0.000 0.500 0.500 x2
O: 0.167 0.500 0.315 x4
O: 0.171 0.386 0.681 x8

=====

No. 3
First-principles (PBE-GGA) data for Fe2Mo after structural relaxation, as listed in OQMD.

Results
formation enthalpy at 0 K: 1231 meV per atom
E_tot: -47.542 eV for the cell shown

Lattice parameters (Å, degrees): 6.313 6.313 2.580 90.00 90.00 90.00
Space group P4_2/mnm (No. 136)
Symmetry-distinct sites (fractional):
Fe: 0.242 0.242 0.000 x4
Mo: 0.000 0.000 0.500 x2